# LaCoCu2

LaCoCu2 after structural relaxation (PBE, Alexandria via LeMat-Bulk).

Output
magnetization: 0.00 Bohr magnetons per cell
energy of formation from the pure elements: 104 meV per atom
theoretical density: 7.66 g/cm³

a = 3.6314 Å, b = 3.6761 Å, c = 5.5766 Å
α = 90.00°, β = 108.86°, γ = 90.00°
Atoms (fractional coordinates):
La 0.0000 0.0000 0.0000
Co 0.5867 0.5000 0.1741
Cu 0.2662 0.5000 0.5362
Cu 0.7304 0.0000 0.4667